(1)
Compound: Hf3H
Source: Alexandria via LeMat-Bulk
Functional: GGA-PBE
Structure: optimized geometry

a b c (Å): 3.0255 8.8689 5.1420
angles (deg): 90.00 90.00 90.00
Fractional positions:
Hf 0.0000 0.0000 0.0000
Hf 0.0000 0.1814 0.4981
Hf 0.0000 0.8186 0.4981
Hf 0.5000 0.3186 0.9981
Hf 0.5000 0.5000 0.5000
Hf 0.5000 0.6814 0.9981
H 0.0000 0.5000 0.8273
H 0.5000 0.0000 0.3273

Output
SG: Imm2, No. 44



(2)
Compound: HfH5
Source: Alexandria via LeMat-Bulk
Functional: GGA-PBE
Structure: optimized geometry

a b c (Å): 3.2705 6.8082 3.2359
angles (deg): 90.00 90.00 90.00
Fractional positions:
Hf 0.0000 0.0000 0.0000
Hf 0.5000 0.5000 0.0000
H 0.0000 0.1601 0.5000
H 0.0000 0.3131 0.0000
H 0.0000 0.5000 0.5000
H 0.0000 0.6869 0.0000
H 0.0000 0.8399 0.5000
H 0.5000 0.0000 0.5000
H 0.5000 0.1869 0.0000
H 0.5000 0.3399 0.5000
H 0.5000 0.6601 0.5000
H 0.5000 0.8131 0.0000

Output
SG: Cmmm, No. 65



(3)
Compound: HfH4
Source: Alexandria via LeMat-Bulk
Functional: GGA-PBE
Structure: optimized geometry

a b c (Å): 3.5668 3.6077 5.4291
angles (deg): 90.00 112.24 90.00
Fractional positions:
Hf 0.0000 0.0000 0.0000
Hf 0.0000 0.5000 0.5000
H 0.1678 0.0189 0.3916
H 0.1678 0.4811 0.8916
H 0.4072 0.6424 0.3115
H 0.4072 0.8576 0.8115
H 0.5928 0.1424 0.1885
H 0.5928 0.3576 0.6885
H 0.8322 0.5189 0.1084
H 0.8322 0.9811 0.6084

Output
SG: P2_1/c, No. 14
Energy above the most stable polymorph in this dataset in meV per atom: 0



(4)
Compound: HfH3
Source: Alexandria via LeMat-Bulk
Functional: GGA-PBE
Structure: optimized geometry

a b c (Å): 3.0766 3.0766 3.0766
angles (deg): 90.00 90.00 90.00
Fractional positions:
Hf 0.0000 0.0000 0.0000
H 0.0000 0.5000 0.5000
H 0.5000 0.0000 0.5000
H 0.5000 0.5000 0.0000

Output
SG: Pm-3m, No. 221



(5)
Compound: HfH3
Source: Alexandria via LeMat-Bulk
Functional: GGA-PBE
Structure: optimized geometry

a b c (Å): 4.7295 4.7295 3.1950
angles (deg): 90.00 90.00 120.00
Fractional positions:
Hf 0.3333 0.6667 0.2500
Hf 0.6667 0.3333 0.7500
H 0.1798 0.3596 0.7500
H 0.1798 0.8202 0.7500
H 0.3596 0.1798 0.2500
H 0.6404 0.8202 0.7500
H 0.8202 0.1798 0.2500
H 0.8202 0.6404 0.2500

Output
SG: P6_3/mmc, No. 194



(6)
Compound: Hf2H5
Source: Alexandria via LeMat-Bulk
Functional: GGA-PBE
Structure: optimized geometry

a b c (Å): 6.0395 6.0395 6.0395
angles (deg): 130.46 65.48 140.00
Fractional positions:
Hf 0.1224 0.2386 0.3610
Hf 0.3776 0.7386 0.1162
Hf 0.6224 0.2614 0.8838
Hf 0.8776 0.7614 0.6390
H 0.0048 0.7500 0.2548
H 0.0750 0.8503 0.9253
H 0.2500 0.7500 0.5000
H 0.4250 0.3503 0.7753
H 0.4952 0.7500 0.7452
H 0.5048 0.2500 0.2548
H 0.5750 0.6497 0.2247
H 0.7500 0.2500 0.5000
H 0.9250 0.1497 0.0747
H 0.9952 0.2500 0.7452

Output
SG: Ibam, No. 72



(7)
Compound: HfHgH
Source: Alexandria via LeMat-Bulk
Functional: GGA-PBE
Structure: optimized geometry

a b c (Å): 3.1744 3.1744 18.4354
angles (deg): 90.00 90.00 90.00
Fractional positions:
Hf 0.0000 0.0000 0.0804
Hf 0.0000 0.0000 0.9196
Hf 0.5000 0.5000 0.4196
Hf 0.5000 0.5000 0.5804
Hg 0.0000 0.0000 0.3086
Hg 0.0000 0.0000 0.6914
Hg 0.5000 0.5000 0.1914
Hg 0.5000 0.5000 0.8086
H 0.0000 0.5000 0.0000
H 0.0000 0.5000 0.5000
H 0.5000 0.0000 0.0000
H 0.5000 0.0000 0.5000

Output
SG: I4/mmm, No. 139
Energy above the most stable polymorph in this dataset in meV per atom: 200



(8)
Compound: Hf3HgH
Source: Alexandria via LeMat-Bulk
Functional: GGA-PBE
Structure: optimized geometry

a b c (Å): 5.8155 5.8184 5.9688
angles (deg): 92.45 92.34 116.59
Fractional positions:
Hf 0.0000 0.0000 0.0000
Hf 0.0025 0.4671 0.7695
Hf 0.3033 0.7279 0.2329
Hf 0.4810 0.0057 0.7550
Hf 0.7344 0.2940 0.2337
Hf 0.8151 0.8228 0.4897
Hg 0.2798 0.2764 0.4404
Hg 0.5263 0.5264 0.8870
H 0.3825 0.0406 0.0672
H 0.9916 0.5900 0.4474

Output
SG: P1, No. 1
Energy above the most stable polymorph in this dataset in meV per atom: 53



| no. | uncorrected energy (eV/atom) |
| --- | --- |
| 1 | -8.258 |
| 2 | -4.458 |
| 3 | -4.850 |
| 4 | -5.246 |
| 5 | -5.239 |
| 6 | -5.608 |
| 7 | -4.603 |
| 8 | -6.831 |